Record 1
The following is a GGA-PBE calculation of a relaxed Sc3SbC crystal, from Alexandria via LeMat-Bulk.

Summary:
- magnetic moment (Bohr magnetons per cell) = 0.00
- energy (eV/atom) = -6.846
- uncorrected formation energy (kJ/mol of formula units) = -182
- volume (Å³/atom) = 20.52

Unit cell a=4.3813 b=6.2416 c=7.5054 alpha=90.00 beta=90.00 gamma=90.00
Atoms (fractional coordinates):
Sc1 0.2500 0.0177 0.1514
Sc2 0.2500 0.4823 0.1514
Sc3 0.2500 0.7500 0.5658
Sc4 0.7500 0.2500 0.4342
Sc5 0.7500 0.5177 0.8486
Sc6 0.7500 0.9823 0.8486
Sb1 0.2500 0.2500 0.7537
Sb2 0.7500 0.7500 0.2463
C1 0.2500 0.2500 0.3547
C2 0.7500 0.7500 0.6453

***

Record 2
The following is a GGA-PBE calculation of a relaxed SiBPt crystal, from Alexandria via LeMat-Bulk.

Summary:
- magnetic moment (Bohr magnetons per cell) = 0.00
- energy (eV/atom) = -6.021
- uncorrected formation energy (kJ/mol of formula units) = 8
- volume (Å³/atom) = 11.90

Unit cell a=9.4692 b=9.4692 c=9.4692 alpha=18.08 beta=18.08 gamma=18.08
Atoms (fractional coordinates):
Si1 0.0615 0.0615 0.0615
Si2 0.9385 0.9385 0.9385
B1 0.3392 0.3392 0.3392
B2 0.6608 0.6608 0.6608
Pt1 0.2095 0.2095 0.2095
Pt2 0.7905 0.7905 0.7905

***

Record 3
The following is a GGA-PBE calculation of a relaxed Cu3Pt12W crystal, from Alexandria via LeMat-Bulk.

Summary:
- magnetic moment (Bohr magnetons per cell) = 0.00
- formation energy (eV per atom) = -0.171
- energy (eV/atom) = -6.279
- volume (Å³/atom) = 15.07

Unit cell a=3.9325 b=3.9325 c=15.5871 alpha=90.00 beta=90.00 gamma=90.00
Atoms (fractional coordinates):
Cu1 0.0000 0.0000 0.0000
Cu2 0.0000 0.0000 0.2458
Cu3 0.0000 0.0000 0.7542
Pt1 0.0000 0.5000 0.1239
Pt2 0.0000 0.5000 0.3754
Pt3 0.0000 0.5000 0.6246
Pt4 0.0000 0.5000 0.8761
Pt5 0.5000 0.0000 0.1239
Pt6 0.5000 0.0000 0.3754
Pt7 0.5000 0.0000 0.6246
Pt8 0.5000 0.0000 0.8761
Pt9 0.5000 0.5000 0.0000
Pt10 0.5000 0.5000 0.2485
Pt11 0.5000 0.5000 0.5000
Pt12 0.5000 0.5000 0.7515
W1 0.0000 0.0000 0.5000

***

Record 4
The following is a GGA-PBE calculation of a relaxed Ho4Tm6Sc crystal, from Alexandria via LeMat-Bulk.

Summary:
- magnetic moment (Bohr magnetons per cell) = 0.00
- formation energy (eV per atom) = 0.139
- energy (eV/atom) = -4.541
- volume (Å³/atom) = 30.07

Unit cell a=5.4926 b=5.4926 c=25.2641 alpha=90.00 beta=90.00 gamma=119.77
Atoms (fractional coordinates):
Ho1 0.0051 0.9949 0.6218
Ho2 0.0051 0.9949 0.8782
Ho3 0.3349 0.6651 0.5430
Ho4 0.3349 0.6651 0.9570
Ho5 0.6651 0.3349 0.0430
Ho6 0.6651 0.3349 0.4570
Ho7 0.9949 0.0051 0.1218
Ho8 0.9949 0.0051 0.3782
Tm1 0.0000 0.0000 0.0000
Tm2 0.0000 0.0000 0.5000
Tm3 0.0039 0.9961 0.7500
Tm4 0.3290 0.6710 0.1067
Tm5 0.3290 0.6710 0.3933
Tm6 0.3376 0.6624 0.6828
Tm7 0.3376 0.6624 0.8172
Tm8 0.6624 0.3376 0.1828
Tm9 0.6624 0.3376 0.3172
Tm10 0.6710 0.3290 0.6067
Tm11 0.6710 0.3290 0.8933
Tm12 0.9961 0.0039 0.2500
Sc1 0.3297 0.6703 0.2500
Sc2 0.6703 0.3297 0.7500

***

Record 5
The following is a GGA-PBE calculation of a relaxed SrLi3Al crystal, from Alexandria via LeMat-Bulk.

Summary:
- magnetic moment (Bohr magnetons per cell) = 0.00
- formation energy (eV per atom) = 0.045
- energy (eV/atom) = -2.189
- volume (Å³/atom) = 26.47

Unit cell a=5.0961 b=5.0961 c=5.0961 alpha=90.00 beta=90.00 gamma=90.00
Atoms (fractional coordinates):
Sr1 0.0000 0.0000 0.0000
Li1 0.0000 0.5000 0.5000
Li2 0.5000 0.0000 0.5000
Li3 0.5000 0.5000 0.0000
Al1 0.5000 0.5000 0.5000

***

Record 6
The following is a GGA-PBE calculation of a relaxed Sc2ZnO crystal, from Alexandria via LeMat-Bulk.

Summary:
- magnetic moment (Bohr magnetons per cell) = 0.00
- energy (eV/atom) = -5.926
- uncorrected formation energy (kJ/mol of formula units) = -464
- volume (Å³/atom) = 17.70

Unit cell a=8.2966 b=8.2966 c=8.2966 alpha=22.09 beta=22.09 gamma=22.09
Atoms (fractional coordinates):
Sc1 0.1157 0.1157 0.1157
Sc2 0.8843 0.8843 0.8843
Zn1 0.0000 0.0000 0.0000
O1 0.5000 0.5000 0.5000

***

The lowest volume belongs to which entry?
SiBPt